No. 1
Material: TaGa2PS
Method: DFT, GGA-PBE
State: relaxed

Unit cell a=4.6436 b=4.5132 c=4.6436 alpha=90.00 beta=90.00 gamma=90.00
With the nearest neighbours (Å) after each atom.
Positions (direct):
P: 0.0000 0.0000 0.0000  2 S 2.26, 4 Ga 2.32
S: 0.0000 0.5000 0.0000  2 P 2.26
Ga: 0.0000 0.0000 0.5000  2 P 2.32
Ga: 0.5000 0.0000 0.0000  2 P 2.32
Ta: 0.5000 0.5000 0.5000  8 Ga 3.24, 4 S 3.28

Summary:
* electronic total energy: -22.71 eV/cell



No. 2
Material: TaGaP2S
Method: DFT, GGA-PBE
State: relaxed

Unit cell a=4.5181 b=4.5181 c=4.6171 alpha=90.00 beta=90.00 gamma=90.00
With the nearest neighbours (Å) after each atom.
Positions (direct):
P: 0.0000 0.5000 0.0000  2 Ga 2.26
P: 0.5000 0.0000 0.0000  2 Ga 2.26
S: 0.0000 0.0000 0.5000  2 Ga 2.31
Ga: 0.0000 0.0000 0.0000  4 P 2.26, 2 S 2.31
Ta: 0.5000 0.5000 0.5000  4 S 3.19, 8 P 3.23

Summary:
* electronic total energy: -24.62 eV/cell
* polymorph energy (0 for the lowest one): 91.0 kJ per mole of atoms



No. 3
Material: GaTcPS2
Method: DFT, GGA-PBE
State: relaxed

Unit cell a=4.7468 b=4.7468 c=4.5783 alpha=90.00 beta=90.00 gamma=90.00
With the nearest neighbours (Å) after each atom.
Positions (direct):
P: 0.0000 0.0000 0.5000  2 Tc 2.29
S: 0.0000 0.5000 0.0000  2 Tc 2.37
S: 0.5000 0.0000 0.0000  2 Tc 2.37
Tc: 0.0000 0.0000 0.0000  2 P 2.29, 4 S 2.37
Ga: 0.5000 0.5000 0.5000  8 S 3.30, 4 P 3.36

Summary:
* electronic total energy: -25.65 eV/cell
* polymorph energy (0 for the lowest one): 0.0 kJ per mole of atoms



No. 4
Material: GaTcPS2
Method: DFT, GGA-PBE
State: relaxed

Unit cell a=4.6643 b=4.6643 c=4.6839 alpha=90.00 beta=90.00 gamma=90.00
With the nearest neighbours (Å) after each atom.
Positions (direct):
P: 0.0000 0.0000 0.5000  2 Ga 2.34
S: 0.0000 0.5000 0.0000  2 Ga 2.33
S: 0.5000 0.0000 0.0000  2 Ga 2.33
Tc: 0.5000 0.5000 0.5000  4 P 3.30, 8 S 3.31
Ga: 0.0000 0.0000 0.0000  4 S 2.33, 2 P 2.34

Summary:
* electronic total energy: -21.94 eV/cell
* polymorph energy (0 for the lowest one): 71.5 kJ per mole of atoms



No. 5
Material: GaTcPS2
Method: DFT, GGA-PBE
State: relaxed

Unit cell a=4.7443 b=4.5698 c=4.7443 alpha=90.00 beta=90.00 gamma=90.00
With the nearest neighbours (Å) after each atom.
Positions (direct):
P: 0.0000 0.0000 0.0000  2 Tc 2.28, 4 S 2.37
S: 0.0000 0.0000 0.5000  2 P 2.37
S: 0.5000 0.0000 0.0000  2 P 2.37
Tc: 0.0000 0.5000 0.0000  2 P 2.28
Ga: 0.5000 0.5000 0.5000  8 S 3.29, 4 Tc 3.35

Summary:
* electronic total energy: -23.37 eV/cell
* polymorph energy (0 for the lowest one): 44.0 kJ per mole of atoms



No. 6
Material: GaTePS2
Method: DFT, GGA-PBE
State: relaxed

Unit cell a=4.6664 b=4.6664 c=4.8101 alpha=90.00 beta=90.00 gamma=90.00
With the nearest neighbours (Å) after each atom.
Positions (direct):
P: 0.0000 0.0000 0.5000  2 Ga 2.41
S: 0.0000 0.5000 0.0000  2 Ga 2.33
S: 0.5000 0.0000 0.0000  2 Ga 2.33
Te: 0.5000 0.5000 0.5000  4 P 3.30, 8 S 3.35
Ga: 0.0000 0.0000 0.0000  4 S 2.33, 2 P 2.41

Summary:
* electronic total energy: -17.19 eV/cell
* polymorph energy (0 for the lowest one): 0.0 kJ per mole of atoms



Number 1: ΔE_f (raw) 0.95 eV per atom. Number 2: ΔE_f (raw) 1.04 eV per atom. Number 3: ΔE_f (raw) 0.28 eV per atom. Number 4: ΔE_f (raw) 1.02 eV per atom. Number 5: ΔE_f (raw) 0.74 eV per atom. Number 6: ΔE_f (raw) 0.53 eV per atom.